[1]
DFT (PBE) results for a geometry-optimized HfVTcMo structure.

Unit cell a=4.486 b=4.486 c=4.486 alpha=60.00 beta=60.00 gamma=60.00
Sites, in units of the cell vectors:
Mo 0.000 0.000 0.000
Hf 0.250 0.250 0.250
Tc 0.500 0.500 0.500
V 0.750 0.750 0.750

## Properties
Volume in Å³/atom: 16.0
SG: F-43m
VASP energy in eV per cell: -40.969
Calculated formation energy in kJ per mole of atoms: -17

---

[2]
DFT (PBE) results for a geometry-optimized HfTcMoW structure.

Unit cell a=4.538 b=4.538 c=4.538 alpha=60.00 beta=60.00 gamma=60.00
Sites, in units of the cell vectors:
Mo 0.750 0.750 0.750
Hf 0.500 0.500 0.500
Tc 0.250 0.250 0.250
W 0.000 0.000 0.000

## Properties
Volume in Å³/atom: 16.5
SG: F-43m
VASP energy in eV per cell: -44.957
Calculated formation energy in kJ per mole of atoms: -21

---

[3]
DFT (PBE) results for a geometry-optimized HfTe2Mo structure.

Unit cell a=4.890 b=4.890 c=4.890 alpha=60.00 beta=60.00 gamma=60.00
Each line ends with the local moment (μB).
Sites, in units of the cell vectors:
Mo 0.000 0.000 0.000  0.93
Te 0.250 0.250 0.250  -0.01
Te 0.750 0.750 0.750  -0.01
Hf 0.500 0.500 0.500  0.29

## Properties
Volume in Å³/atom: 20.7
SG: Fm-3m
Energy relative to the elements, uncorrected in eV per atom: -0.01
VASP energy in eV per cell: -27.121

---

[4]
DFT (PBE) results for a geometry-optimized HfTeMo3 structure.

Unit cell a=4.856 b=4.856 c=4.856 alpha=90.00 beta=90.00 gamma=90.00
Each line ends with the local moment (μB).
Sites, in units of the cell vectors:
Mo 0.000 0.500 0.000  0.38
Mo 0.000 0.000 0.500  0.47
Mo 0.500 0.000 0.000  0.52
Te 0.500 0.500 0.500  -0.04
Hf 0.000 0.000 0.000  -0.04

## Properties
Volume in Å³/atom: 22.9
SG: Pm-3m
Energy relative to the elements, uncorrected in eV per atom: 1.89
VASP energy in eV per cell: -36.132

---

Question: Number 1 is which compound?
Answer: HfVTcMo